VASP calculation (PBE) on crystalline Li2GeBi2O6 at its relaxed geometry.

For the total magnetization, the calculation gives 0.00 μB/atom. Its theoretical density is 7.0 g/cm3. The calculation puts the raw formation energy at -1.43 eV per atom.

Cell: 5.8052 5.8052 14.6524 Å, 90.00 90.00 120.00°
Space group R-3m (No. 166, hexagonal axes)
One atom of each set of equivalent atoms:
1 Li 0.0000 0.0000 0.0878 [6 per cell]
2 Ge 0.0000 0.0000 0.5000 [3 per cell]
3 Bi 0.0000 0.0000 0.3023 [6 per cell]
4 O 0.0376 0.5188 0.2520 [18 per cell]